Model a:
An optimized crystal structure of YZr2Rh, computed with PBEsol.

It has space group Pm (No. 6), with a = 3.2526 Å, b = 4.3171 Å, c = 6.2053 Å, α = 90.00°, β = 103.18° and γ = 90.00°. The asymmetric unit holds Y at (0.0000, 0.0000, 0.0000), Zr at (0.1669, 0.0000, 0.5411), Zr at (0.6095, 0.5000, 0.3164) and Rh at (0.5274, 0.5000, 0.7525).

Model b:
An optimized crystal structure of YZr2Rh, computed with PBEsol.

It has space group Immm (No. 71), with a = 3.3606 Å, b = 4.9495 Å, c = 10.1047 Å, α = 90.00°, β = 90.00° and γ = 90.00°. The asymmetric unit holds Y at (0.0000, 0.0000, 0.0000), Zr at (0.0000, 0.5000, 0.2171) and Rh at (0.0000, 0.0000, 0.5000).

Result of the stability comparison: model b is the most stable of them.

Model a:
An optimized crystal structure of Zr4Rh, computed with PBEsol.

It has space group I4/m (No. 87), with a = 7.7333 Å, b = 7.7333 Å, c = 3.3238 Å, α = 90.00°, β = 90.00° and γ = 90.00°. The asymmetric unit holds Zr at (0.0871, 0.7184, 0.0000) and Rh at (0.0000, 0.0000, 0.5000).

Model b:
An optimized crystal structure of Zr4Rh, computed with PBEsol.

It has space group I4/mmm (No. 139), with a = 3.6732 Å, b = 3.6732 Å, c = 15.9760 Å, α = 90.00°, β = 90.00° and γ = 90.00°. The asymmetric unit holds Zr at (0.0000, 0.0000, 0.0836), Zr at (0.0000, 0.5000, 0.2500) and Rh at (0.0000, 0.0000, 0.5000).

Result of the stability comparison: model a is the most stable of them.

Model a:
An optimized crystal structure of Zr5Rh, computed with PBEsol.

It has space group C2/m (No. 12), with a = 10.8030 Å, b = 3.3080 Å, c = 7.2068 Å, α = 90.00°, β = 109.64° and γ = 90.00°. The asymmetric unit holds Zr at (0.0000, 0.0000, 0.0000), Zr at (0.1494, 0.5000, 0.3521), Zr at (0.1688, 0.5000, 0.8150) and Rh at (0.0000, 0.0000, 0.5000).

Model b:
An optimized crystal structure of Zr5Rh, computed with PBEsol.

It has space group P4/mmm (No. 123), with a = 3.2528 Å, b = 3.2528 Å, c = 11.5495 Å, α = 90.00°, β = 90.00° and γ = 90.00°. The asymmetric unit holds Zr at (0.0000, 0.0000, 0.0000), Zr at (0.0000, 0.0000, 0.3610), Zr at (0.5000, 0.5000, 0.1837) and Rh at (0.5000, 0.5000, 0.5000).

Result of the stability comparison: model b is the most stable of them.

Model a:
An optimized crystal structure of ZrRh4, computed with PBEsol.

It has space group I4/m (No. 87), with a = 6.1189 Å, b = 6.1189 Å, c = 3.9253 Å, α = 90.00°, β = 90.00° and γ = 90.00°. The asymmetric unit holds Zr at (0.0000, 0.0000, 0.0000) and Rh at (0.0998, 0.3074, 0.5000).

Model b:
An optimized crystal structure of ZrRh4, computed with PBEsol.

It has space group I4/mmm (No. 139), with a = 3.6144 Å, b = 3.6144 Å, c = 12.2485 Å, α = 90.00°, β = 90.00° and γ = 90.00°. The asymmetric unit holds Zr at (0.0000, 0.0000, 0.0000), Rh at (0.0000, 0.0000, 0.4004) and Rh at (0.0000, 0.5000, 0.2500).

Result of the stability comparison: model a is the most stable of them.

Model a:
An optimized crystal structure of SbRu2Se, computed with PBEsol.

It has space group P4mm (No. 99), with a = 2.9945 Å, b = 2.9945 Å, c = 8.0563 Å, α = 90.00°, β = 90.00° and γ = 90.00°. The asymmetric unit holds Sb at (0.0000, 0.0000, 0.0000), Ru at (0.0000, 0.0000, 0.5626), Ru at (0.5000, 0.5000, 0.7929) and Se at (0.5000, 0.5000, 0.3959).

Model b:
An optimized crystal structure of SbRu2Se, computed with PBEsol.

It has space group F-43m (No. 216), with a = 6.4236 Å, b = 6.4236 Å, c = 6.4236 Å, α = 90.00°, β = 90.00° and γ = 90.00°. The asymmetric unit holds Sb at (0.0000, 0.0000, 0.0000), Ru at (0.0000, 0.0000, 0.5000), Ru at (0.2500, 0.2500, 0.2500) and Se at (0.2500, 0.2500, 0.7500).

Model c:
An optimized crystal structure of SbRu2Se, computed with PBEsol.

It has space group Pmmm (No. 47), with a = 3.0070 Å, b = 4.2406 Å, c = 5.2036 Å, α = 90.00°, β = 90.00° and γ = 90.00°. The asymmetric unit holds Sb at (0.0000, 0.0000, 0.0000), Ru at (0.0000, 0.5000, 0.5000), Ru at (0.5000, 0.5000, 0.0000) and Se at (0.5000, 0.0000, 0.5000).

Result of the stability comparison: model a is the most stable of them.

Model a:
An optimized crystal structure of TcSb2Ru, computed with PBEsol.

It has space group Cm (No. 8), with a = 9.5231 Å, b = 3.2309 Å, c = 4.5662 Å, α = 90.00°, β = 103.09° and γ = 90.00°. The asymmetric unit holds Tc at (0.0000, 0.0000, 0.0000), Sb at (0.2331, 0.5000, 0.0973), Sb at (0.4907, 0.0000, 0.4924) and Ru at (0.2259, 0.0000, 0.5936).

Model b:
An optimized crystal structure of TcSb2Ru, computed with PBEsol.

It has space group Fm-3m (No. 225), with a = 6.4533 Å, b = 6.4533 Å, c = 6.4533 Å, α = 90.00°, β = 90.00° and γ = 90.00°. The asymmetric unit holds Tc at (0.0000, 0.0000, 0.0000), Sb at (0.2500, 0.2500, 0.2500) and Ru at (0.0000, 0.0000, 0.5000).

Result of the stability comparison: model a is the most stable of them.

Model a:
An optimized crystal structure of Sb2RuW, computed with PBEsol.

It has space group F-43m (No. 216), with a = 6.6398 Å, b = 6.6398 Å, c = 6.6398 Å, α = 90.00°, β = 90.00° and γ = 90.00°. The asymmetric unit holds Sb at (0.0000, 0.0000, 0.0000), Sb at (0.2500, 0.2500, 0.2500), Ru at (0.0000, 0.0000, 0.5000) and W at (0.2500, 0.2500, 0.7500).

Model b:
An optimized crystal structure of Sb2RuW, computed with PBEsol.

It has space group P4/mmm (No. 123), with a = 4.5952 Å, b = 4.5952 Å, c = 3.2607 Å, α = 90.00°, β = 90.00° and γ = 90.00°. The asymmetric unit holds Sb at (0.0000, 0.5000, 0.0000), Ru at (0.0000, 0.0000, 0.5000) and W at (0.5000, 0.5000, 0.5000).

Model c:
An optimized crystal structure of Sb2RuW, computed with PBEsol.

It has space group C2/m (No. 12), with a = 6.2395 Å, b = 8.5401 Å, c = 3.0534 Å, α = 90.00°, β = 115.76° and γ = 90.00°. The asymmetric unit holds Sb at (0.2500, 0.2500, 0.0000), Ru at (0.0000, 0.0000, 0.5000) and W at (0.0000, 0.5000, 0.5000).

Result of the stability comparison: model b is the most stable of them.

Model a:
An optimized crystal structure of ScRuSe2, computed with PBEsol.

It has space group I-4m2 (No. 119), with a = 3.6904 Å, b = 3.6904 Å, c = 9.9310 Å, α = 90.00°, β = 90.00° and γ = 90.00°. The asymmetric unit holds Sc at (0.0000, 0.0000, 0.0000), Ru at (0.0000, 0.5000, 0.7500), Se at (0.0000, 0.0000, 0.5000) and Se at (0.0000, 0.5000, 0.2500).

Model b:
An optimized crystal structure of ScRuSe2, computed with PBEsol.

It has space group Immm (No. 71), with a = 4.0471 Å, b = 4.9982 Å, c = 6.7270 Å, α = 90.00°, β = 90.00° and γ = 90.00°. The asymmetric unit holds Sc at (0.0000, 0.0000, 0.0000), Ru at (0.0000, 0.0000, 0.5000) and Se at (0.0000, 0.5000, 0.2173).

Result of the stability comparison: model b is the most stable of them.